[1]
RbSr2PmBr8 | PBE | optimized geometry

Cell and atoms, written as POSCAR:
```
RbSr2PmBr8
1.0
6.9761 0.0000 0.0000
0.0000 9.5767 0.0000
-0.0124 0.0000 7.2559
Rb Sr Pm Br
1 2 1 8
Direct
0.0000 0.0000 0.0000
0.5000 0.2486 0.5000
0.5000 0.7514 0.5000
0.0000 0.5000 0.0000
0.2385 0.2874 0.1591
0.2385 0.7126 0.1591
0.2549 0.5000 0.6731
0.2655 0.0000 0.6221
0.7345 0.0000 0.3779
0.7451 0.5000 0.3269
0.7615 0.2874 0.8409
0.7615 0.7126 0.8409
```

Values from the calculation:
ΔE_f (raw) (eV per formula unit): -23.487
Calculated total energy (eV per atom): -3.8293

[2]
RbPmTeBr2 | PBE | optimized geometry

Cell and atoms, written as POSCAR:
```
RbPmTeBr2
1.0
2.2775 -9.5979 0.0000
2.2775 9.5979 0.0000
0.0000 0.0000 8.9460
Rb Pm Te Br
2 2 2 4
Direct
0.2077 0.7923 0.7500
0.7923 0.2077 0.2500
0.5000 0.5000 0.0000
0.5000 0.5000 0.5000
0.0034 0.9966 0.7500
0.9966 0.0034 0.2500
0.3509 0.6491 0.5085
0.3509 0.6491 0.9915
0.6491 0.3509 0.0085
0.6491 0.3509 0.4915
```

Values from the calculation:
ΔE_f (raw) (eV per formula unit): -8.297
Calculated total energy (eV per atom): -4.1005

[3]
RbPmTl2Br6 | PBE | optimized geometry

Cell and atoms, written as POSCAR:
```
RbPmTl2Br6
1.0
8.2783 0.0000 0.0000
-4.1373 7.1787 0.0000
-4.1390 -2.3892 7.1684
Rb Pm Tl Br
1 1 2 6
Direct
0.0000 0.0000 0.0000
0.9785 0.4892 0.4673
0.5740 0.2870 0.8603
0.5937 0.7972 0.3901
0.0799 0.4046 0.2096
0.0816 0.2474 0.6800
0.4327 0.8342 0.6801
0.5349 0.1308 0.2093
0.8049 0.6746 0.2090
0.8458 0.5988 0.6798
```

Values from the calculation:
ΔE_f (raw) (eV per formula unit): -14.665
Calculated total energy (eV per atom): -3.5153

[4]
RbPmZnBr6 | PBE | optimized geometry

Cell and atoms, written as POSCAR:
```
RbPmZnBr6
1.0
7.2302 0.0000 0.0000
-3.6151 6.2615 0.0000
0.0000 0.0000 15.2995
Rb Pm Zn Br
2 2 2 12
Direct
0.0000 0.0000 0.0000
0.0000 0.0000 0.5000
0.3333 0.6667 0.2500
0.6667 0.3333 0.7500
0.3333 0.6667 0.7500
0.6667 0.3333 0.2500
0.0228 0.3855 0.6458
0.0228 0.6373 0.8542
0.3627 0.3855 0.8542
0.3627 0.9772 0.6458
0.3855 0.0228 0.1458
0.3855 0.3627 0.3542
0.6145 0.6373 0.6458
0.6145 0.9772 0.8542
0.6373 0.0228 0.3542
0.6373 0.6145 0.1458
0.9772 0.3627 0.1458
0.9772 0.6145 0.3542
```

Values from the calculation:
ΔE_f (raw) (eV per formula unit): -13.414
Calculated total energy (eV per atom): -3.3826

[5]
Pm2ReBr | PBE | optimized geometry

Cell and atoms, written as POSCAR:
```
Pm2ReBr
1.0
3.5150 0.0000 0.0000
0.0000 3.5150 0.0000
0.0000 0.0000 8.1710
Pm Re Br
2 1 1
Direct
0.0000 0.0000 0.2086
0.0000 0.0000 0.7914
0.5000 0.5000 0.0000
0.5000 0.5000 0.5000
```

Values from the calculation:
Distance to the lowest polymorph of the same formula (meV per atom): 0
ΔE_f (raw) (eV per formula unit): -1.812
Calculated total energy (eV per atom): -6.3586

[6]
PmReBr | PBE | optimized geometry

Cell and atoms, written as POSCAR:
```
PmReBr
1.0
2.0816 1.2018 11.8014
-2.0816 1.2018 11.8014
0.0000 -2.4037 11.8014
Pm Re Br
2 2 2
Direct
0.0629 0.0629 0.0629
0.9371 0.9371 0.9371
0.3393 0.3393 0.3393
0.6607 0.6607 0.6607
0.2173 0.2173 0.2173
0.7827 0.7827 0.7827
```

Values from the calculation:
ΔE_f (raw) (eV per formula unit): -2.593
Calculated total energy (eV per atom): -7.1548

[7]
Pm4ReBr5 | PBE | optimized geometry

Cell and atoms, written as POSCAR:
```
Pm4ReBr5
1.0
9.3955 -1.9780 0.0000
9.3955 1.9780 0.0000
-2.4857 0.0000 9.0981
Pm Re Br
4 1 5
Direct
0.0021 0.0021 0.2369
0.3555 0.3555 0.9223
0.6445 0.6445 0.0777
0.9979 0.9979 0.7631
0.5000 0.5000 0.0000
0.1683 0.1683 0.3240
0.1696 0.1696 0.8511
0.5000 0.5000 0.5000
0.8304 0.8304 0.1489
0.8317 0.8317 0.6760
```

Values from the calculation:
ΔE_f (raw) (eV per formula unit): -12.363
Calculated total energy (eV per atom): -5.2178

[8]
Pm2ReBr | PBE | optimized geometry

Cell and atoms, written as POSCAR:
```
Pm2ReBr
1.0
1.6483 0.9516 10.4736
-1.6483 0.9516 10.4736
0.0000 -1.9033 10.4736
Pm Re Br
2 1 1
Direct
0.0877 0.0877 0.0877
0.9123 0.9123 0.9123
0.0000 0.0000 0.0000
0.5000 0.5000 0.5000
```

Values from the calculation:
Distance to the lowest polymorph of the same formula (meV per atom): 815
ΔE_f (raw) (eV per formula unit): 1.450
Calculated total energy (eV per atom): -5.5431

[9]
Pm3Rh2Br | PBE | optimized geometry

Cell and atoms, written as POSCAR:
```
Pm3Rh2Br
1.0
2.0870 -8.0490 0.0000
2.0870 8.0490 0.0000
0.0000 0.0000 9.6682
Pm Rh Br
6 4 2
Direct
0.1119 0.8881 0.5556
0.1119 0.8881 0.9444
0.3794 0.6206 0.7500
0.6206 0.3794 0.2500
0.8881 0.1119 0.0556
0.8881 0.1119 0.4444
0.0141 0.9859 0.2500
0.5000 0.5000 0.0000
0.5000 0.5000 0.5000
0.9859 0.0141 0.7500
0.2759 0.7241 0.2500
0.7241 0.2759 0.7500
```

Values from the calculation:
ΔE_f (raw) (eV per formula unit): -4.146
Calculated total energy (eV per atom): -5.7957

[10]
Pm4Rh2Br | PBE | optimized geometry

Cell and atoms, written as POSCAR:
```
Pm4Rh2Br
1.0
-4.5198 4.5198 4.6158
4.5198 -4.5198 4.6158
4.5198 4.5198 -4.6158
Pm Rh Br
8 4 2
Direct
0.0280 0.7785 0.1247
0.0963 0.4715 0.7496
0.0967 0.9720 0.7504
0.2215 0.3463 0.2496
0.5285 0.2780 0.6247
0.6533 0.9037 0.3753
0.6537 0.9033 0.8753
0.7220 0.3467 0.2504
0.3750 0.0185 0.1435
0.7685 0.6250 0.6435
0.8750 0.2315 0.8565
0.9815 0.1250 0.3565
0.2500 0.7500 0.5000
0.5000 0.5000 0.0000
```

Values from the calculation:
ΔE_f (raw) (eV per formula unit): -5.325
Calculated total energy (eV per atom): -5.8147

[11]
PmRhBr | PBE | optimized geometry

Cell and atoms, written as POSCAR:
```
PmRhBr
1.0
2.1588 1.2464 10.7847
-2.1588 1.2464 10.7847
0.0000 -2.4928 10.7847
Pm Rh Br
2 2 2
Direct
0.0571 0.0571 0.0571
0.9429 0.9429 0.9429
0.3346 0.3346 0.3346
0.6654 0.6654 0.6654
0.2201 0.2201 0.2201
0.7799 0.7799 0.7799
```

Values from the calculation:
Distance to the lowest polymorph of the same formula (meV per atom): 0
ΔE_f (raw) (eV per formula unit): -3.650
Calculated total energy (eV per atom): -5.8084

[12]
PmRhBr | PBE | optimized geometry

Cell and atoms, written as POSCAR:
```
PmRhBr
1.0
3.7389 -2.1590 0.0000
3.7389 2.1590 0.0000
-0.0977 0.0000 10.7902
Pm Rh Br
2 2 2
Direct
0.0023 0.0023 0.1714
0.9977 0.9977 0.8286
0.3334 0.3334 0.0038
0.6666 0.6666 0.9962
0.3288 0.3288 0.6602
0.6712 0.6712 0.3398
```

Values from the calculation:
Distance to the lowest polymorph of the same formula (meV per atom): 0
ΔE_f (raw) (eV per formula unit): -3.649
Calculated total energy (eV per atom): -5.8081

The lowest calculated total energy belongs to which entry?
PmReBr

Number 4 is which compound?
RbPmZnBr6

Which formula does entry 1 have?
RbSr2PmBr8

Among the records above, which one has the highest ΔE_f (raw)?
number 8